Here is InTcSn2I after structural relaxation from Alexandria. Energies are from PBE-GGA.

For the energy relative to the elements, uncorrected, the calculation gives 0.007 eV per atom. The calculated total energy is -22.6 eV per cell. The value obtained for the calculated volume is 146.3 Å³/cell.

The structure belongs to space group P4/mmm (No. 123); the cell edges are 5.223, 5.223 and 5.364 Å and the angles 90.00°, 90.00° and 90.00°. The distinct sites, in fractional coordinates, are In at (0.000, 0.000, 0.000), Tc at (0.000, 0.000, 0.500), Sn at (0.000, 0.500, 0.500) and I at (0.500, 0.500, 0.000).